Record 1
## KNaZrI6 (PBE)

Data for a relaxed KNaZrI6 crystal.

The structure belongs to space group P-31c (No. 163); the cell edges are 8.0270, 8.0270 and 14.8955 Å and the angles 90.00°, 90.00° and 120.00°. The distinct sites, in fractional coordinates, are K at (0.0000, 0.0000, 0.0000), Na at (0.3333, 0.6667, 0.2500), Zr at (0.3333, 0.6667, 0.7500) and I at (0.0321, 0.3833, 0.6370).

The calculation puts the energy relative to the elements, uncorrected at -1.10 eV/atom.

***

Record 2
## K2NbI8 (PBE)

Data for a relaxed K2NbI8 crystal.

The structure belongs to space group C2/m (No. 12); the cell edges are 14.494, 12.642 and 6.630 Å and the angles 90.00°, 104.20° and 90.00°. The distinct sites, in fractional coordinates, are K at (0.215, 0.000, 0.109), Nb at (0.000, 0.500, 0.000), I at (0.001, 0.000, 0.255), I at (0.074, 0.343, 0.792) and I at (0.169, 0.500, 0.318).

The calculation puts the energy relative to the elements, uncorrected at -0.71 eV/atom.

***

Record 3
## KNb2I (PBE)

Data for a relaxed KNb2I crystal.

The structure belongs to space group Fm-3m (No. 225); the cell edges are 7.143, 7.143 and 7.143 Å and the angles 90.00°, 90.00° and 90.00°. The distinct sites, in fractional coordinates, are K at (0.000, 0.000, 0.000), Nb at (0.250, 0.250, 0.250) and I at (0.000, 0.000, 0.500).

The calculation puts the energy relative to the elements, uncorrected at 1.59 eV/atom.

***

In order of appearance, raw total energy = -3.355 -2.948 -4.107 eV per atom.